DFT (PBE) results for LiIn2Cl after structural relaxation.

Calculated values
**Calculated volume**: 102 Å³/cell

a b c (Å): 5.244 5.244 5.244
angles (deg): 60.00 60.00 60.00
Atoms (fractional coordinates):
In1 0.000 0.000 0.000
In2 0.750 0.750 0.750
Cl1 0.500 0.500 0.500
Li1 0.250 0.250 0.250

---

DFT (PBE) results for LiIn2Cl after structural relaxation.

Calculated values
**Calculated volume**: 103 Å³/cell

a b c (Å): 3.797 4.672 5.821
angles (deg): 90.00 90.00 90.00
Atoms (fractional coordinates):
Li1 0.500 0.500 0.250
In1 0.000 0.000 0.001
In2 0.000 0.000 0.499
Cl1 0.500 0.500 0.750

---

DFT (PBE) results for LiIn2Cl after structural relaxation.

Calculated values
**Calculated volume**: 95 Å³/cell

a b c (Å): 3.434 3.434 8.611
angles (deg): 90.00 90.00 110.75
Atoms (fractional coordinates):
Cl1 0.500 0.500 0.750
In1 0.000 0.000 0.012
Li1 0.500 0.500 0.250
In2 0.000 0.000 0.488

---

Number 1: E -10.183 eV per cell, energy above the most stable polymorph in this dataset 471 meV/atom, uncorrected formation energy -23 kJ/mol of atoms. Number 2: E -10.511 eV per cell, energy above the most stable polymorph in this dataset 389 meV/atom, uncorrected formation energy -31 kJ/mol of atoms. Number 3: E -10.413 eV per cell, energy above the most stable polymorph in this dataset 414 meV/atom, uncorrected formation energy -28 kJ/mol of atoms.